(1)
Here is Rb2PO4 after structural relaxation from the Alexandria database. Energies are from PBE-GGA.

Lattice parameters (Å, degrees): 6.2235 6.2139 8.2051 90.00 102.59 90.00
With the nearest neighbours (Å) after each atom.
Sites, in units of the cell vectors:
Rb (0.2087, 0.2500, 0.0205)  8 O 2.93-3.25
Rb (0.2761, 0.2500, 0.5339)  5 O 2.87-3.03
Rb (0.7239, 0.7500, 0.4661)  5 O 2.87-3.03
Rb (0.7913, 0.7500, 0.9795)  8 O 2.93-3.25
P (0.2263, 0.7500, 0.7757)  4 O 1.55-1.56
P (0.7737, 0.2500, 0.2243)  4 O 1.55-1.56
O (0.0810, 0.5459, 0.7323)  1 P 1.55
O (0.0810, 0.9541, 0.7323)  1 P 1.55
O (0.3177, 0.7500, 0.9683)  1 P 1.56
O (0.4156, 0.7500, 0.6808)  1 P 1.55
O (0.5844, 0.2500, 0.3192)  1 P 1.55
O (0.6823, 0.2500, 0.0317)  1 P 1.56
O (0.9190, 0.0459, 0.2677)  1 P 1.55
O (0.9190, 0.4541, 0.2677)  1 P 1.55

Results
Its volume is 309.7 Å³ per cell. The value obtained for the formation energy (no corrections) is -190.78 kJ per mole of atoms. The electronic total energy is -5.860 eV per atom. Its density of states at the Fermi level is 1.361 states/eV per atom. The value obtained for the offset from the most stable computed form is 0 meV per atom.

(2)
Here is Rb2PO3 after structural relaxation from the Alexandria database. Energies are from PBE-GGA.

Lattice parameters (Å, degrees): 10.2909 10.2729 6.0132 73.16 72.83 34.01
With the nearest neighbours (Å) after each atom.
Sites, in units of the cell vectors:
Rb (0.2475, 0.7525, 0.7525)  4 O 3.11, 2 P 3.37
Rb (0.2500, 0.2500, 0.2500)  4 O 3.05
Rb (0.7500, 0.7500, 0.7500)  4 O 3.05
Rb (0.7525, 0.2475, 0.2475)  4 O 3.11, 2 P 3.37
P (0.1413, 0.1413, 0.8587)  3 O 1.53
P (0.8587, 0.8587, 0.1413)  3 O 1.53
O (0.0539, 0.7455, 0.2545)  1 P 1.53
O (0.2229, 0.2229, 0.7771)  1 P 1.53
O (0.2545, 0.9461, 0.0539)  1 P 1.53
O (0.7455, 0.0539, 0.9461)  1 P 1.53
O (0.7771, 0.7771, 0.2229)  1 P 1.53
O (0.9461, 0.2545, 0.7455)  1 P 1.53

Results
Its volume is 338.5 Å³ per cell. The value obtained for the formation energy (no corrections) is -164.04 kJ per mole of atoms. The electronic total energy is -5.403 eV per atom. Its density of states at the Fermi level is 0.235 states/eV per atom.

(3)
Here is Rb3PO4 after structural relaxation from the Alexandria database. Energies are from PBE-GGA.

Lattice parameters (Å, degrees): 8.4174 6.2322 6.0420 90.00 90.00 90.00
With the nearest neighbours (Å) after each atom.
Sites, in units of the cell vectors:
Rb (0.0000, 0.2102, 0.0000)  4 O 2.75-2.94
Rb (0.2440, 0.7212, 0.9998)  6 O 2.86-3.19
Rb (0.2560, 0.2788, 0.4998)  6 O 2.86-3.19
Rb (0.5000, 0.7898, 0.5000)  4 O 2.75-2.94
Rb (0.7440, 0.2788, 0.4998)  6 O 2.86-3.19
Rb (0.7560, 0.7212, 0.9998)  6 O 2.86-3.19
P (0.0000, 0.7000, 0.5009)  4 O 1.56-1.57
P (0.5000, 0.3000, 0.0009)  4 O 1.56-1.57
O (0.0000, 0.5504, 0.7104)  1 P 1.57
O (0.0000, 0.5521, 0.2901)  1 P 1.57
O (0.1534, 0.8418, 0.5017)  1 P 1.56
O (0.3466, 0.1582, 0.0017)  1 P 1.56
O (0.5000, 0.4479, 0.7901)  1 P 1.57
O (0.5000, 0.4496, 0.2104)  1 P 1.57
O (0.6534, 0.1582, 0.0017)  1 P 1.56
O (0.8466, 0.8418, 0.5017)  1 P 1.56

Results
Its volume is 317.0 Å³ per cell. The value obtained for the formation energy (no corrections) is -206.02 kJ per mole of atoms. The electronic total energy is -5.653 eV per atom. Its density of states at the Fermi level is 0.000 states/eV per atom. The value obtained for the offset from the most stable computed form is 16 meV per atom.

(4)
Here is RbReP2O8 after structural relaxation from the Alexandria database. Energies are from PBE-GGA.

Lattice parameters (Å, degrees): 9.3327 9.3327 9.3327 30.79 30.79 30.79
With the nearest neighbours (Å) after each atom.
Sites, in units of the cell vectors:
Rb (0.0000, 0.0000, 0.0000)  6 O 3.11
Re (0.5000, 0.5000, 0.5000)  6 O 1.97
P (0.2319, 0.2319, 0.2319)  4 O 1.49-1.57
P (0.7681, 0.7681, 0.7681)  4 O 1.49-1.57
O (0.1066, 0.7387, 0.5250)  1 P 1.57
O (0.2613, 0.4750, 0.8934)  1 P 1.57
O (0.2880, 0.2880, 0.2880)  1 P 1.49
O (0.4750, 0.8934, 0.2613)  1 P 1.57
O (0.5250, 0.1066, 0.7387)  1 P 1.57
O (0.7120, 0.7120, 0.7120)  1 P 1.49
O (0.7387, 0.5250, 0.1066)  1 P 1.57
O (0.8934, 0.2613, 0.4750)  1 P 1.57

Results
Its volume is 188.9 Å³ per cell. The value obtained for the formation energy (no corrections) is -189.84 kJ per mole of atoms. The electronic total energy is -7.293 eV per atom. Its density of states at the Fermi level is 0.270 states/eV per atom.